# 1
First-principles (PBE) data for an optimized crystal structure of PmHo2Rh, as listed in Alexandria via LeMat-Bulk.

The space group is P4/mmm (No. 123) and the conventional cell measures 3.4882, 3.4882 and 8.6880 Å, with angles of 90.00, 90.00 and 90.00 degrees. The distinct sites, in fractional coordinates, are Pm at (0.0000, 0.0000, 0.0000), Ho at (0.5000, 0.5000, 0.3130) and Rh at (0.0000, 0.0000, 0.5000).

For the energy above the most stable polymorph in this dataset, the calculation gives 31 kJ/mol of formula units. The calculation puts the formation energy at -1.72 eV/f.u. Its magnetic moment is 0.0 μB/f.u.

# 2
First-principles (PBE) data for an optimized crystal structure of PmPrTlIn, as listed in Alexandria via LeMat-Bulk.

The space group is F-43m (No. 216) and the conventional cell measures 7.7846, 7.7846 and 7.7846 Å, with angles of 90.00, 90.00 and 90.00 degrees. The distinct sites, in fractional coordinates, are Pm at (0.0000, 0.0000, 0.0000), Pr at (0.0000, 0.0000, 0.5000), Tl at (0.2500, 0.2500, 0.2500) and In at (0.2500, 0.2500, 0.7500).

For the energy above the most stable polymorph in this dataset, the calculation gives 2 kJ/mol of formula units. The calculation puts the formation energy at -1.76 eV/f.u. Its magnetic moment is 0.0 μB/f.u.

# 3
First-principles (PBE) data for an optimized crystal structure of Cs2GeBr5Cl, as listed in Alexandria via LeMat-Bulk.

The space group is I4mm (No. 107) and the conventional cell measures 7.7181, 7.7181 and 11.1737 Å, with angles of 90.00, 90.00 and 90.00 degrees. The distinct sites, in fractional coordinates, are Cs at (0.0000, 0.5000, 0.0000), Ge at (0.0000, 0.0000, 0.2491), Br at (0.0000, 0.0000, 0.4763), Br at (0.2314, 0.2314, 0.2491) and Cl at (0.0000, 0.0000, 0.0393).

The raw formation energy comes out at -1.1608 eV per atom. Its magnetic moment is 0.0 μB/f.u.